A crystal of CeZnPd relaxed with PBEsol. Source: Alexandria, functional SCAN.

Results
- energy relative to the elements (meV/atom) = -675
- M_tot (μB/f.u.) = 0.722
- final energy (eV/cell) = -371.5
- distance to the lowest polymorph of the same formula (eV per formula unit) = 0.00

a = 4.393 Å, b = 6.664 Å, c = 7.876 Å
α = 90.00°, β = 90.00°, γ = 90.00°
Each line ends with the local moment (μB).
Element x y z (fractional)
Ce: 0.750 0.469 0.198  0.65
Ce: 0.250 0.531 0.802  0.65
Ce: 0.750 0.969 0.302  0.65
Ce: 0.250 0.031 0.698  0.65
Zn: 0.750 0.844 0.931  0.00
Zn: 0.250 0.156 0.069  0.00
Zn: 0.750 0.344 0.569  0.00
Zn: 0.250 0.656 0.431  0.00
Pd: 0.250 0.259 0.395  -0.03
Pd: 0.750 0.741 0.605  -0.03
Pd: 0.250 0.759 0.105  -0.03
Pd: 0.750 0.241 0.895  -0.03


A crystal of CeZnPd relaxed with PBEsol. Source: Alexandria, functional SCAN.

Results
- energy relative to the elements (meV/atom) = -668
- M_tot (μB/f.u.) = 0.770
- final energy (eV/cell) = -278.6
- distance to the lowest polymorph of the same formula (eV per formula unit) = 0.02

a = 3.961 Å, b = 7.148 Å, c = 7.148 Å
α = 120.00°, β = 90.00°, γ = 90.00°
Each line ends with the local moment (μB).
Element x y z (fractional)
Ce: 0.000 0.000 0.413  0.64
Ce: 0.000 0.413 0.000  0.64
Ce: 0.000 0.587 0.587  0.64
Zn: 0.500 0.000 0.758  0.01
Zn: 0.500 0.758 0.000  0.01
Zn: 0.500 0.242 0.242  0.01
Pd: 0.000 0.000 0.000  -0.01
Pd: 0.500 0.333 0.667  -0.01
Pd: 0.500 0.667 0.333  -0.01


A crystal of CePt relaxed with PBEsol. Source: Alexandria, functional SCAN.

Results
- energy relative to the elements (meV/atom) = -1272
- M_tot (μB/f.u.) = 0.754
- final energy (eV/cell) = -234.6

a = 3.790 Å, b = 4.333 Å, c = 5.772 Å
α = 90.00°, β = 109.16°, γ = 90.00°
Each line ends with the local moment (μB).
Element x y z (fractional)
Pt: 0.594 0.250 0.189  -0.03
Pt: 0.406 0.750 0.811  -0.03
Ce: 0.863 0.250 0.727  0.65
Ce: 0.137 0.750 0.273  0.65


A crystal of CePt5 relaxed with PBEsol. Source: Alexandria, functional SCAN.

Results
- energy relative to the elements (meV/atom) = -810
- M_tot (μB/f.u.) = 0.556
- final energy (eV/cell) = -400.4

a = 4.378 Å, b = 5.310 Å, c = 5.310 Å
α = 120.00°, β = 90.00°, γ = 90.00°
Each line ends with the local moment (μB).
Element x y z (fractional)
Ce: 0.000 0.000 0.000  0.64
Pt: 0.000 0.333 0.667  -0.06
Pt: 0.000 0.667 0.333  -0.06
Pt: 0.500 0.000 0.500  -0.03
Pt: 0.500 0.500 0.500  -0.03
Pt: 0.500 0.500 0.000  -0.03


A crystal of Ce3Sb4Pt3 relaxed with PBEsol. Source: Alexandria, functional SCAN.

Results
- M_tot (μB/f.u.) = 0.206
- final energy (eV/cell) = -1011.8

a = 8.412 Å, b = 8.412 Å, c = 8.412 Å
α = 109.47°, β = 109.47°, γ = 109.47°
Each line ends with the local moment (μB).
Element x y z (fractional)
Ce: 0.125 0.250 0.375  0.14
Ce: 0.375 0.750 0.125  0.14
Ce: 0.750 0.625 0.875  0.14
Ce: 0.250 0.875 0.625  0.14
Ce: 0.875 0.125 0.750  0.14
Ce: 0.625 0.375 0.250  0.14
Sb: 0.328 0.328 0.828  -0.01
Sb: 0.500 0.172 0.500  -0.01
Sb: 0.000 0.500 0.672  -0.01
Sb: 0.172 0.000 0.000  -0.01
Sb: 0.500 0.672 0.500  -0.01
Sb: 0.828 0.828 0.328  -0.01
Sb: 0.000 0.500 0.172  -0.01
Sb: 0.672 0.000 0.000  -0.01
Pt: 0.625 0.250 0.875  -0.03
Pt: 0.875 0.750 0.625  -0.03
Pt: 0.750 0.125 0.375  -0.03
Pt: 0.250 0.375 0.125  -0.03
Pt: 0.375 0.625 0.750  -0.03
Pt: 0.125 0.875 0.250  -0.03


A crystal of CeSi3Pt relaxed with PBEsol. Source: Alexandria, functional SCAN.

Results
- M_tot (μB/f.u.) = 0.844
- final energy (eV/cell) = -149.3

a = 4.254 Å, b = 4.254 Å, c = 5.643 Å
α = 112.14°, β = 112.14°, γ = 90.00°
Each line ends with the local moment (μB).
Element x y z (fractional)
Si: 0.135 0.635 0.270  -0.02
Si: 0.635 0.135 0.270  -0.02
Si: 0.999 0.999 0.997  -0.01
Ce: 0.401 0.401 0.802  0.78
Pt: 0.750 0.750 0.500  -0.03


A crystal of CeSi2Pt2 relaxed with PBEsol. Source: Alexandria, functional SCAN.

Results
- M_tot (μB/f.u.) = 0.731
- final energy (eV/cell) = -210.6

a = 4.125 Å, b = 4.125 Å, c = 5.800 Å
α = 110.83°, β = 110.83°, γ = 90.00°
Each line ends with the local moment (μB).
Element x y z (fractional)
Si: 0.384 0.384 0.767  0.00
Si: 0.616 0.616 0.233  0.00
Ce: 0.000 0.000 0.000  0.64
Pt: 0.250 0.750 0.500  0.00
Pt: 0.750 0.250 0.500  0.00


A crystal of CeSi2Pt2 relaxed with PBEsol. Source: Alexandria, functional SCAN.

Results
- M_tot (μB/f.u.) = 0.001
- final energy (eV/cell) = -422.8

a = 4.203 Å, b = 4.203 Å, c = 9.732 Å
α = 90.00°, β = 90.00°, γ = 90.00°
Element x y z (fractional)
Ce: 0.000 0.500 0.253
Ce: 0.500 0.000 0.747
Si: 0.500 0.500 0.500
Si: 0.500 0.000 0.133
Si: 0.000 0.000 0.500
Si: 0.000 0.500 0.867
Pt: 0.000 0.000 0.000
Pt: 0.000 0.500 0.622
Pt: 0.500 0.000 0.378
Pt: 0.500 0.500 0.000


A crystal of CeSi2Pt relaxed with PBEsol. Source: Alexandria, functional SCAN.

Results
- M_tot (μB/f.u.) = 0.629
- final energy (eV/cell) = -278.7

a = 4.192 Å, b = 4.205 Å, c = 8.531 Å
α = 75.73°, β = 90.00°, γ = 90.00°
Each line ends with the local moment (μB).
Element x y z (fractional)
Si: 0.250 0.034 0.931  -0.01
Si: 0.750 0.966 0.069  -0.01
Si: 0.250 0.749 0.501  -0.01
Si: 0.750 0.251 0.499  -0.01
Ce: 0.250 0.397 0.206  0.58
Ce: 0.750 0.603 0.794  0.58
Pt: 0.250 0.178 0.643  -0.02
Pt: 0.750 0.822 0.357  -0.02


A crystal of Ce4Sn25Pt12 relaxed with PBEsol. Source: Alexandria, functional SCAN.

Results
- energy relative to the elements (meV/atom) = -664
- M_tot (μB/f.u.) = 4.220
- final energy (eV/cell) = -1945.8

a = 10.611 Å, b = 10.611 Å, c = 10.611 Å
α = 109.47°, β = 109.47°, γ = 109.47°
Each line ends with the local moment (μB).
Element x y z (fractional)
Ce: 0.000 0.000 0.500  0.95
Ce: 0.000 0.500 0.000  0.95
Ce: 0.500 0.000 0.000  0.95
Ce: 0.500 0.500 0.500  0.95
Sn: 0.248 0.125 0.877  0.00
Sn: 0.380 0.373 0.754  0.00
Sn: 0.877 0.752 0.629  0.00
Sn: 0.877 0.248 0.125  0.00
Sn: 0.620 0.373 0.993  0.00
Sn: 0.000 0.000 0.000  0.01
Sn: 0.875 0.123 0.752  0.00
Sn: 0.371 0.123 0.248  0.00
Sn: 0.629 0.877 0.752  0.00
Sn: 0.125 0.877 0.248  0.00
Sn: 0.627 0.007 0.380  0.00
Sn: 0.752 0.629 0.877  0.00
Sn: 0.993 0.620 0.373  0.00
Sn: 0.007 0.380 0.627  0.00
Sn: 0.752 0.875 0.123  0.00
Sn: 0.373 0.993 0.620  0.00
Sn: 0.123 0.248 0.371  0.00
Sn: 0.754 0.380 0.373  0.00
Sn: 0.248 0.371 0.123  0.00
Sn: 0.246 0.620 0.627  0.00
Sn: 0.373 0.754 0.380  0.00
Sn: 0.627 0.246 0.620  0.00
Sn: 0.123 0.752 0.875  0.00
Sn: 0.620 0.627 0.246  0.00
Sn: 0.380 0.627 0.007  0.00
Pt: 0.513 0.680 0.833  -0.01
Pt: 0.847 0.680 0.167  -0.01
Pt: 0.833 0.513 0.680  -0.01
Pt: 0.680 0.167 0.847  -0.01
Pt: 0.153 0.320 0.833  -0.01
Pt: 0.167 0.847 0.680  -0.01
Pt: 0.680 0.833 0.513  -0.01
Pt: 0.320 0.167 0.487  -0.01
Pt: 0.320 0.833 0.153  -0.01
Pt: 0.167 0.487 0.320  -0.01
Pt: 0.833 0.153 0.320  -0.01
Pt: 0.487 0.320 0.167  -0.01


A crystal of CeZnPt relaxed with PBEsol. Source: Alexandria, functional SCAN.

Results
- energy relative to the elements (meV/atom) = -1003
- M_tot (μB/f.u.) = 0.438
- final energy (eV/cell) = -525.1

a = 4.312 Å, b = 6.763 Å, c = 7.939 Å
α = 90.00°, β = 90.00°, γ = 90.00°
Each line ends with the local moment (μB).
Element x y z (fractional)
Ce: 0.250 0.531 0.804  0.40
Ce: 0.750 0.969 0.304  0.40
Ce: 0.250 0.031 0.696  0.40
Ce: 0.750 0.469 0.196  0.40
Zn: 0.750 0.350 0.567  0.00
Zn: 0.750 0.849 0.933  0.00
Zn: 0.250 0.650 0.433  0.00
Zn: 0.250 0.151 0.067  0.00
Pt: 0.750 0.244 0.890  -0.02
Pt: 0.750 0.744 0.610  -0.02
Pt: 0.250 0.256 0.390  -0.02
Pt: 0.250 0.756 0.110  -0.02


A crystal of RbCeS2 relaxed with PBEsol. Source: Alexandria, functional SCAN.

Results
- M_tot (μB/f.u.) = 1.001
- final energy (eV/cell) = -92.6

a = 4.160 Å, b = 4.160 Å, c = 7.934 Å
α = 74.80°, β = 74.80°, γ = 60.00°
Each line ends with the local moment (μB).
Element x y z (fractional)
S: 0.232 0.232 0.303  -0.03
S: 0.768 0.768 0.697  -0.03
Ce: 0.500 0.500 0.500  0.93
Rb: 0.000 0.000 0.000  0.00


Look up the M_tot of the second one. 0.770 μB/f.u.